1.
The following is a PBE calculation of an optimized crystal structure of Pm3Mg4Rh4, from Alexandria.

a = 3.945 Å, b = 7.991 Å, c = 8.603 Å
α = 117.68°, β = 103.25°, γ = 90.00°
Atoms (fractional coordinates):
Pm: 0.000 0.500 0.000
Rh: 0.238 0.738 0.476
Mg: 0.326 0.137 0.653
Mg: 0.674 0.863 0.347
Rh: 0.500 0.801 0.000
Mg: 0.326 0.515 0.653
Rh: 0.500 0.199 0.000
Mg: 0.674 0.485 0.347
Rh: 0.762 0.262 0.524
Pm: 0.886 0.886 0.771
Pm: 0.114 0.114 0.229

Summary:
Calculated formation energy   -0.54 eV per atom
N(E_F)   5.1 states/eV per cell
Mass density   6.76 Mg/m³
Symmetry   Immm (71)

2.
The following is a PBE calculation of an optimized crystal structure of HfCuGeAu, from Alexandria.

a = 4.605 Å, b = 4.605 Å, c = 4.605 Å
α = 60.00°, β = 60.00°, γ = 60.00°
Atoms (fractional coordinates):
Cu: 0.250 0.250 0.250
Au: 0.500 0.500 0.500
Hf: 0.750 0.750 0.750
Ge: 0.000 0.000 0.000

Summary:
Calculated formation energy   -0.22 eV per atom
N(E_F)   1.9 states/eV per cell
Mass density   12.31 Mg/m³
Symmetry   F-43m (216)

3.
The following is a PBE calculation of an optimized crystal structure of Dy3Br3N, from Alexandria.

a = 6.441 Å, b = 6.441 Å, c = 11.137 Å
α = 73.19°, β = 73.19°, γ = 60.00°
Atoms (fractional coordinates):
N: 0.667 0.667 0.000
Dy: 0.310 0.607 0.125
Br: 0.431 0.775 0.691
Br: 0.225 0.897 0.309
Br: 0.103 0.431 0.691
Dy: 0.042 0.690 0.875
Br: 0.897 0.569 0.309
Br: 0.569 0.225 0.309
Dy: 0.607 0.958 0.125
Dy: 0.958 0.310 0.125
Dy: 0.690 0.393 0.875
N: 0.333 0.333 0.000
Dy: 0.393 0.042 0.875
Br: 0.775 0.103 0.691

Summary:
N(E_F)   4.9 states/eV per cell
Mass density   6.53 Mg/m³
Uncorrected formation energy   -1.56 eV per atom
Symmetry   R-3 (148)

4.
The following is a PBE calculation of an optimized crystal structure of Rb2CeAuS4, from Alexandria.

a = 6.859 Å, b = 6.859 Å, c = 6.859 Å
α = 104.53°, β = 112.00°, γ = 112.00°
Atoms (fractional coordinates):
Rb: 0.500 0.750 0.250
S: 0.575 0.312 0.415
Ce: 0.500 0.250 0.750
S: 0.897 0.585 0.160
Rb: 0.000 0.000 0.000
Au: 0.000 0.500 0.500
S: 0.103 0.263 0.688
S: 0.425 0.840 0.737

Summary:
N(E_F)   4.9 states/eV per cell
Mass density   4.28 Mg/m³
Uncorrected formation energy   -0.99 eV per atom
Symmetry   I-4 (82)

Repeat the second record exactly.
The following is a PBE calculation of an optimized crystal structure of HfCuGeAu, from Alexandria.

a = 4.605 Å, b = 4.605 Å, c = 4.605 Å
α = 60.00°, β = 60.00°, γ = 60.00°
Atoms (fractional coordinates):
Cu: 0.250 0.250 0.250
Au: 0.500 0.500 0.500
Hf: 0.750 0.750 0.750
Ge: 0.000 0.000 0.000

Summary:
Calculated formation energy   -0.22 eV per atom
N(E_F)   1.9 states/eV per cell
Mass density   12.31 Mg/m³
Symmetry   F-43m (216)

Which of these has the lowest mass density? Rb2CeAuS4

The lowest mass density belongs to which entry? Rb2CeAuS4